(1)
A plane-wave DFT calculation with PBE was carried out for crystalline CdSbNO at its relaxed geometry.

Unit cell a=6.700 b=6.763 c=5.612 alpha=90.00 beta=90.00 gamma=90.00
Atoms (fractional coordinates):
Cd  0.109  0.154  0.000
Cd  0.391  0.154  0.500
Cd  0.609  0.846  0.000
Cd  0.891  0.846  0.500
Sb  0.118  0.650  0.972
Sb  0.382  0.650  0.472
Sb  0.618  0.350  0.972
Sb  0.882  0.350  0.472
N  0.099  0.427  0.227
N  0.401  0.427  0.727
N  0.599  0.573  0.227
N  0.901  0.573  0.727
O  0.061  0.121  0.608
O  0.439  0.121  0.108
O  0.561  0.879  0.608
O  0.939  0.879  0.108

Summary:
Relative energy among the computed polymorphs   0 meV/atom
Electronic total energy   -4.85 eV/atom



(2)
A plane-wave DFT calculation with PBE was carried out for crystalline Mg2NbBi3Pt3 at its relaxed geometry.

Unit cell a=7.934 b=7.934 c=7.927 alpha=99.63 beta=99.63 gamma=119.91
Atoms (fractional coordinates):
Mg  0.083  0.917  0.500
Mg  0.246  0.742  0.000
Mg  0.742  0.246  0.500
Mg  0.917  0.083  0.000
Nb  0.412  0.577  0.497
Nb  0.577  0.412  0.997
Bi  0.149  0.327  0.751
Bi  0.327  0.149  0.251
Bi  0.497  0.988  0.751
Bi  0.673  0.842  0.244
Bi  0.842  0.673  0.744
Bi  0.988  0.497  0.251
Pt  0.053  0.220  0.378
Pt  0.220  0.053  0.878
Pt  0.374  0.856  0.377
Pt  0.535  0.684  0.864
Pt  0.684  0.535  0.364
Pt  0.856  0.374  0.877

Summary:
Electronic total energy   -5.29 eV/atom



(3)
A plane-wave DFT calculation with PBE was carried out for crystalline ZrNbO4 at its relaxed geometry.

Unit cell a=6.994 b=6.994 c=6.849 alpha=108.90 beta=108.90 gamma=32.52
Atoms (fractional coordinates):
Zr  0.193  0.193  0.269
Zr  0.807  0.807  0.731
Nb  0.094  0.094  0.665
Nb  0.906  0.906  0.335
O  0.054  0.054  0.327
O  0.145  0.145  0.972
O  0.259  0.259  0.649
O  0.375  0.375  0.342
O  0.625  0.625  0.658
O  0.741  0.741  0.351
O  0.855  0.855  0.028
O  0.946  0.946  0.673

Summary:
Electronic total energy   -9.22 eV/atom



(4)
A plane-wave DFT calculation with PBE was carried out for crystalline NaErCoS3 at its relaxed geometry.

Unit cell a=6.694 b=6.694 c=10.332 alpha=90.00 beta=90.00 gamma=146.77
Atoms (fractional coordinates):
Na  0.248  0.752  0.750
Na  0.752  0.248  0.250
Er  0.000  0.000  0.000
Er  0.000  0.000  0.500
Co  0.472  0.528  0.250
Co  0.528  0.472  0.750
S  0.075  0.925  0.250
S  0.367  0.633  0.077
S  0.367  0.633  0.423
S  0.633  0.367  0.577
S  0.633  0.367  0.923
S  0.925  0.075  0.750

Summary:
Relative energy among the computed polymorphs   39 meV/atom
Electronic total energy   -5.44 eV/atom



(5)
A plane-wave DFT calculation with PBE was carried out for crystalline ReW2 at its relaxed geometry.

Unit cell a=5.186 b=5.186 c=16.860 alpha=90.00 beta=90.00 gamma=120.00
Atoms (fractional coordinates):
Re  0.000  0.000  0.098
Re  0.000  0.000  0.402
Re  0.000  0.000  0.598
Re  0.000  0.000  0.902
Re  0.333  0.667  0.156
Re  0.333  0.667  0.344
Re  0.667  0.333  0.656
Re  0.667  0.333  0.844
W  0.000  0.500  0.000
W  0.000  0.500  0.500
W  0.163  0.326  0.750
W  0.163  0.837  0.750
W  0.326  0.163  0.250
W  0.333  0.667  0.624
W  0.333  0.667  0.876
W  0.500  0.000  0.000
W  0.500  0.000  0.500
W  0.500  0.500  0.000
W  0.500  0.500  0.500
W  0.667  0.333  0.124
W  0.667  0.333  0.376
W  0.674  0.837  0.750
W  0.837  0.163  0.250
W  0.837  0.674  0.250

Summary:
Relative energy among the computed polymorphs   504 meV/atom
Electronic total energy   -12.25 eV/atom



(6)
A plane-wave DFT calculation with PBE was carried out for crystalline GaTcNO at its relaxed geometry.

Unit cell a=2.979 b=6.046 c=5.033 alpha=90.00 beta=90.00 gamma=90.00
Atoms (fractional coordinates):
Ga  0.000  0.115  0.000
Ga  0.000  0.885  0.500
Tc  0.500  0.417  0.561
Tc  0.500  0.583  0.061
N  0.000  0.180  0.634
N  0.000  0.820  0.134
O  0.500  0.251  0.168
O  0.500  0.749  0.668

Summary:
Relative energy among the computed polymorphs   233 meV/atom
Electronic total energy   -7.11 eV/atom



(7)
A plane-wave DFT calculation with PBE was carried out for crystalline LaLuMgPt at its relaxed geometry.

Unit cell a=5.006 b=5.006 c=5.006 alpha=60.00 beta=60.00 gamma=60.00
Atoms (fractional coordinates):
La  0.000  0.000  0.000
Lu  0.750  0.750  0.750
Mg  0.250  0.250  0.250
Pt  0.500  0.500  0.500

Summary:
Relative energy among the computed polymorphs   105 meV/atom
Electronic total energy   -4.70 eV/atom



(8)
A plane-wave DFT calculation with PBE was carried out for crystalline SrIn2Pd at its relaxed geometry.

Unit cell a=5.873 b=5.873 c=8.009 alpha=90.00 beta=90.00 gamma=134.02
Atoms (fractional coordinates):
Sr  0.064  0.936  0.750
Sr  0.936  0.064  0.250
In  0.351  0.649  0.554
In  0.351  0.649  0.946
In  0.649  0.351  0.054
In  0.649  0.351  0.446
Pd  0.218  0.782  0.250
Pd  0.782  0.218  0.750

Summary:
Electronic total energy   -3.69 eV/atom



(9)
A plane-wave DFT calculation with PBE was carried out for crystalline MgIrNO at its relaxed geometry.

Unit cell a=5.230 b=7.022 c=5.039 alpha=90.00 beta=90.00 gamma=90.00
Atoms (fractional coordinates):
Mg  0.078  0.118  0.000
Mg  0.422  0.118  0.500
Mg  0.578  0.882  0.000
Mg  0.922  0.882  0.500
Ir  0.035  0.574  0.047
Ir  0.465  0.574  0.547
Ir  0.535  0.426  0.047
Ir  0.965  0.426  0.547
N  0.114  0.665  0.674
N  0.386  0.665  0.174
N  0.614  0.335  0.674
N  0.886  0.335  0.174
O  0.067  0.126  0.614
O  0.433  0.126  0.114
O  0.567  0.874  0.614
O  0.933  0.874  0.114

Summary:
Relative energy among the computed polymorphs   0 meV/atom
Electronic total energy   -6.78 eV/atom



(10)
A plane-wave DFT calculation with PBE was carried out for crystalline ZrTlAgSe2S at its relaxed geometry.

Unit cell a=7.552 b=7.552 c=10.283 alpha=90.00 beta=90.00 gamma=149.74
Atoms (fractional coordinates):
Zr  0.000  0.000  0.000
Zr  0.000  0.000  0.500
Tl  0.258  0.742  0.750
Tl  0.742  0.258  0.250
Ag  0.452  0.548  0.250
Ag  0.548  0.452  0.750
Se  0.369  0.631  0.028
Se  0.369  0.631  0.472
Se  0.631  0.369  0.528
Se  0.631  0.369  0.972
S  0.061  0.939  0.250
S  0.939  0.061  0.750

Summary:
Relative energy among the computed polymorphs   15 meV/atom
Electronic total energy   -4.95 eV/atom



(11)
A plane-wave DFT calculation with PBE was carried out for crystalline NdGdZn6Si3 at its relaxed geometry.

Unit cell a=7.518 b=7.518 c=4.034 alpha=90.00 beta=90.00 gamma=120.00
Atoms (fractional coordinates):
Nd  0.000  0.000  0.000
Gd  0.667  0.333  0.000
Zn  0.038  0.668  0.500
Zn  0.139  0.477  0.000
Zn  0.332  0.370  0.500
Zn  0.338  0.861  0.000
Zn  0.523  0.662  0.000
Zn  0.630  0.962  0.500
Si  0.338  0.047  0.500
Si  0.709  0.662  0.500
Si  0.953  0.291  0.500

Summary:
Electronic total energy   -3.42 eV/atom



(12)
A plane-wave DFT calculation with PBE was carried out for crystalline LiTaNb2 at its relaxed geometry.

Unit cell a=4.591 b=4.591 c=4.591 alpha=60.00 beta=60.00 gamma=60.00
Atoms (fractional coordinates):
Li  0.000  0.000  0.000
Ta  0.250  0.250  0.250
Nb  0.500  0.500  0.500
Nb  0.750  0.750  0.750

Summary:
Electronic total energy   -8.17 eV/atom



(13)
A plane-wave DFT calculation with PBE was carried out for crystalline ScAgSb2O7 at its relaxed geometry.

Unit cell a=5.701 b=5.701 c=5.268 alpha=95.87 beta=95.87 gamma=106.40
Atoms (fractional coordinates):
Sc  0.000  0.000  0.000
Ag  0.606  0.394  0.000
Sb  0.066  0.438  0.597
Sb  0.562  0.934  0.403
O  0.217  0.275  0.830
O  0.302  0.042  0.257
O  0.382  0.618  0.500
O  0.725  0.783  0.170
O  0.743  0.125  0.723
O  0.875  0.257  0.277
O  0.958  0.698  0.743

Summary:
Electronic total energy   -6.29 eV/atom



(14)
A plane-wave DFT calculation with PBE was carried out for crystalline TcF at its relaxed geometry.

Unit cell a=3.483 b=3.483 c=3.483 alpha=60.00 beta=60.00 gamma=60.00
Atoms (fractional coordinates):
Tc  0.000  0.000  0.000
F  0.500  0.500  0.500

Summary:
Relative energy among the computed polymorphs   700 meV/atom
Electronic total energy   -5.60 eV/atom



(15)
A plane-wave DFT calculation with PBE was carried out for crystalline TbEr2Tl3CuNi2 at its relaxed geometry.

Unit cell a=3.781 b=7.564 c=7.564 alpha=120.05 beta=90.00 gamma=90.00
Atoms (fractional coordinates):
Tb  0.000  0.000  0.000
Er  0.000  0.410  0.820
Er  0.000  0.820  0.410
Tl  0.500  0.145  0.411
Tl  0.500  0.411  0.145
Tl  0.500  0.674  0.674
Cu  0.000  0.411  0.411
Ni  0.500  0.078  0.742
Ni  0.500  0.742  0.078

Summary:
Electronic total energy   -4.30 eV/atom



(16)
A plane-wave DFT calculation with PBE was carried out for crystalline NaZn2O4 at its relaxed geometry.

Unit cell a=6.160 b=6.160 c=6.160 alpha=60.00 beta=60.00 gamma=60.00
Atoms (fractional coordinates):
Na  0.125  0.125  0.125
Na  0.875  0.875  0.875
Zn  0.000  0.500  0.500
Zn  0.500  0.000  0.500
Zn  0.500  0.500  0.000
Zn  0.500  0.500  0.500
O  0.268  0.268  0.268
O  0.268  0.268  0.696
O  0.268  0.696  0.268
O  0.304  0.732  0.732
O  0.696  0.268  0.268
O  0.732  0.304  0.732
O  0.732  0.732  0.304
O  0.732  0.732  0.732

Summary:
Electronic total energy   -4.11 eV/atom



(17)
A plane-wave DFT calculation with PBE was carried out for crystalline Gd2Re2O5 at its relaxed geometry.

Unit cell a=3.989 b=3.989 c=6.780 alpha=90.00 beta=90.00 gamma=90.00
Atoms (fractional coordinates):
Gd  0.000  0.000  0.000
Gd  0.000  0.000  0.500
Re  0.500  0.500  0.175
Re  0.500  0.500  0.825
O  0.000  0.500  0.240
O  0.000  0.500  0.760
O  0.500  0.000  0.240
O  0.500  0.000  0.760
O  0.500  0.500  0.500

Summary:
Relative energy among the computed polymorphs   0 meV/atom
Electronic total energy   -8.42 eV/atom



(18)
A plane-wave DFT calculation with PBE was carried out for crystalline HfMgTlIr at its relaxed geometry.

Unit cell a=4.715 b=4.715 c=4.715 alpha=60.00 beta=60.00 gamma=60.00
Atoms (fractional coordinates):
Hf  0.000  0.000  0.000
Mg  0.750  0.750  0.750
Tl  0.250  0.250  0.250
Ir  0.500  0.500  0.500

Summary:
Relative energy among the computed polymorphs   304 meV/atom
Electronic total energy   -5.59 eV/atom



(19)
A plane-wave DFT calculation with PBE was carried out for crystalline BaTbS2 at its relaxed geometry.

Unit cell a=4.240 b=4.240 c=5.974 alpha=90.00 beta=90.00 gamma=90.00
Atoms (fractional coordinates):
Ba  0.000  0.000  0.000
Tb  0.500  0.500  0.500
S  0.000  0.000  0.500
S  0.500  0.500  0.000

Summary:
Electronic total energy   -5.51 eV/atom



(20)
A plane-wave DFT calculation with PBE was carried out for crystalline Y2TcO4 at its relaxed geometry.

Unit cell a=6.737 b=6.737 c=6.737 alpha=60.00 beta=60.00 gamma=60.00
Atoms (fractional coordinates):
Y  0.000  0.000  0.000
Y  0.000  0.000  0.500
Y  0.000  0.500  0.000
Y  0.500  0.000  0.000
Tc  0.375  0.375  0.375
Tc  0.625  0.625  0.625
O  0.216  0.761  0.761
O  0.239  0.239  0.239
O  0.239  0.239  0.784
O  0.239  0.784  0.239
O  0.761  0.216  0.761
O  0.761  0.761  0.216
O  0.761  0.761  0.761
O  0.784  0.239  0.239

Summary:
Electronic total energy   -8.49 eV/atom



(21)
A plane-wave DFT calculation with PBE was carried out for crystalline NaHfAgSe3 at its relaxed geometry.

Unit cell a=7.703 b=4.058 c=17.202 alpha=90.00 beta=90.00 gamma=90.00
Atoms (fractional coordinates):
Na  0.126  0.250  0.189
Na  0.374  0.750  0.689
Na  0.626  0.250  0.311
Na  0.874  0.750  0.811
Hf  0.242  0.250  0.956
Hf  0.258  0.750  0.456
Hf  0.742  0.250  0.544
Hf  0.758  0.750  0.044
Ag  0.023  0.250  0.676
Ag  0.477  0.750  0.176
Ag  0.523  0.250  0.824
Ag  0.977  0.750  0.324
Se  0.008  0.250  0.426
Se  0.128  0.750  0.049
Se  0.179  0.250  0.807
Se  0.321  0.750  0.307
Se  0.372  0.250  0.549
Se  0.492  0.750  0.926
Se  0.508  0.250  0.074
Se  0.628  0.750  0.451
Se  0.679  0.250  0.693
Se  0.821  0.750  0.193
Se  0.872  0.250  0.951
Se  0.992  0.750  0.574

Summary:
Relative energy among the computed polymorphs   110 meV/atom
Electronic total energy   -4.98 eV/atom